1.
The following is a GGA-PBE calculation of ThCu6 after structural relaxation, from Alexandria via LeMat-Bulk.

Calculated values
E_form = -0.143 eV per atom
density = 9.697 g/cm3
ΔE to the lowest computed polymorph = 0 meV/atom
raw total energy = -4.71 eV per atom
magnetic moment = 0.0 μB/f.u.

```
data_ThCu6
_chemical_formula_sum 'Th4 Cu24'
_cell_length_a 8.108
_cell_length_b 5.117
_cell_length_c 10.126
_cell_angle_alpha 90.00
_cell_angle_beta 90.00
_cell_angle_gamma 90.00
_space_group_name_H-M_alt 'P n m a'
_space_group_IT_number 62
loop_
_space_group_symop_operation_xyz
'x,y,z'
'-x,-y,-z'
'-x+1/2,-y,z+1/2'
'x+1/2,y,-z+1/2'
'x+1/2,-y+1/2,-z+1/2'
'-x+1/2,y+1/2,z+1/2'
'-x,y+1/2,-z'
'x,-y+1/2,z'
loop_
_atom_site_label
_atom_site_fract_x
_atom_site_fract_y
_atom_site_fract_z
Th1 0.240 0.250 0.065
Cu1 0.062 0.750 0.097
Cu2 0.064 0.005 0.309
Cu3 0.098 0.250 0.515
Cu4 0.146 0.750 0.857
Cu5 0.183 0.250 0.756
```

---

2.
The following is a GGA-PBE calculation of Sc2FeAu after structural relaxation, from Alexandria via LeMat-Bulk.

Calculated values
E_form = -0.151 eV per atom
density = 7.600 g/cm3
raw total energy = -6.25 eV per atom
magnetic moment = 0.7 μB/f.u.

```
data_Sc2FeAu
_chemical_formula_sum 'Sc6 Fe3 Au3'
_cell_length_a 3.2694
_cell_length_b 3.2694
_cell_length_c 24.2674
_cell_angle_alpha 90.00
_cell_angle_beta 90.00
_cell_angle_gamma 120.00
_space_group_name_H-M_alt 'R -3 m'
_space_group_IT_number 166
_space_group_name_Hall '-R 3 2"'
loop_
_atom_site_label
_atom_site_fract_x
_atom_site_fract_y
_atom_site_fract_z
Sc1 0.0000 0.0000 0.2406
Fe1 0.0000 0.0000 0.5000
Au1 0.0000 0.0000 0.0000
```